# 1
## BaMnSb2O8 (PBE with a Hubbard U)

Data for crystalline BaMnSb2O8 at its relaxed geometry.

a = 5.206 Å, b = 5.189 Å, c = 6.549 Å
α = 89.85°, β = 89.84°, γ = 81.72°
Fractional positions:
1 O 0.204 0.786 0.201
2 O 0.206 0.788 0.799
3 O 0.796 0.214 0.799
4 O 0.653 0.662 0.499
5 O 0.794 0.212 0.201
6 O 0.670 0.677 0.000
7 O 0.347 0.338 0.501
8 O 0.330 0.323 0.000
9 Mn 0.000 0.000 0.000
10 Sb 0.500 0.500 0.760
11 Sb 0.500 0.500 0.240
12 Ba 0.000 0.000 0.500

Calculated values
- VASP energy (eV/atom) = -6.178

---

# 2
## Ba2Mn2Sb2O (PBE with a Hubbard U)

Data for crystalline Ba2Mn2Sb2O at its relaxed geometry.

a = 4.803 Å, b = 4.803 Å, c = 20.373 Å
α = 90.00°, β = 90.00°, γ = 60.00°
Fractional positions:
1 Ba 0.000 0.000 0.750
2 Ba 0.000 0.000 0.500
3 Ba 0.000 0.000 0.250
4 Ba 0.000 0.000 0.000
5 Mn 0.333 0.333 0.351
6 Mn 0.333 0.333 0.149
7 Mn 0.667 0.667 0.851
8 Mn 0.667 0.667 0.649
9 Sb 0.667 0.667 0.389
10 Sb 0.667 0.667 0.111
11 Sb 0.333 0.333 0.611
12 Sb 0.333 0.333 0.889
13 O 0.667 0.667 0.750
14 O 0.333 0.333 0.250

Calculated values
- E above lowest polymorph (kJ per mole of atoms) = 0.0
- VASP energy (eV/atom) = -5.637

---

# 3
## Ba2Mn2Sb2O (PBE with a Hubbard U)

Data for crystalline Ba2Mn2Sb2O at its relaxed geometry.

a = 4.554 Å, b = 6.847 Å, c = 7.428 Å
α = 68.02°, β = 72.15°, γ = 70.58°
Fractional positions:
1 Ba 0.544 0.197 0.715
2 Ba 0.456 0.803 0.285
3 O 0.000 0.000 0.000
4 Sb 0.817 0.654 0.712
5 Sb 0.183 0.346 0.288
6 Mn 0.820 0.285 0.075
7 Mn 0.180 0.715 0.925

Calculated values
- E above lowest polymorph (kJ per mole of atoms) = 4.5
- VASP energy (eV/atom) = -5.590

---

# 4
## Ba3MnSb2O9 (PBE with a Hubbard U)

Data for crystalline Ba3MnSb2O9 at its relaxed geometry.

a = 5.988 Å, b = 5.988 Å, c = 14.825 Å
α = 89.42°, β = 89.42°, γ = 119.90°
Fractional positions:
1 Ba 0.340 0.674 0.412
2 Ba 0.674 0.340 0.912
3 Ba 0.660 0.326 0.588
4 Ba 0.997 0.003 0.250
5 Ba 0.003 0.997 0.750
6 Ba 0.326 0.660 0.088
7 Mn 0.000 0.000 0.000
8 Mn 0.000 0.000 0.500
9 O 0.802 0.630 0.075
10 O 0.142 0.802 0.586
11 O 0.198 0.370 0.925
12 O 0.370 0.198 0.425
13 O 0.802 0.142 0.086
14 O 0.519 0.040 0.258
15 O 0.856 0.684 0.405
16 O 0.316 0.144 0.095
17 O 0.144 0.316 0.595
18 O 0.684 0.856 0.905
19 O 0.481 0.960 0.742
20 O 0.040 0.519 0.758
21 O 0.198 0.858 0.914
22 O 0.630 0.802 0.575
23 O 0.960 0.481 0.242
24 O 0.481 0.519 0.750
25 O 0.519 0.481 0.250
26 O 0.858 0.198 0.414
27 Sb 0.679 0.346 0.347
28 Sb 0.346 0.679 0.847
29 Sb 0.321 0.654 0.653
30 Sb 0.654 0.321 0.153

Calculated values
- E above lowest polymorph (kJ per mole of atoms) = 0.0
- VASP energy (eV/atom) = -6.551

---

# 5
## Ba2Sc3MnO8 (PBE with a Hubbard U)

Data for crystalline Ba2Sc3MnO8 at its relaxed geometry.

a = 6.377 Å, b = 6.377 Å, c = 7.348 Å
α = 64.28°, β = 64.28°, γ = 60.00°
Fractional positions:
1 Ba 0.492 0.492 0.524
2 Ba 0.141 0.141 0.576
3 O 0.711 0.711 0.867
4 O 0.272 0.272 0.183
5 O 0.215 0.215 0.856
6 O 0.759 0.266 0.216
7 O 0.266 0.759 0.216
8 O 0.759 0.759 0.216
9 O 0.715 0.215 0.856
10 O 0.215 0.715 0.856
11 Sc 0.494 0.494 0.023
12 Sc 0.494 0.990 0.023
13 Sc 0.990 0.494 0.023
14 Mn 0.971 0.971 0.087

Calculated values
- VASP energy (eV/atom) = -7.815

---

# 6
## BaSc4Mn3O12 (PBE with a Hubbard U)

Data for crystalline BaSc4Mn3O12 at its relaxed geometry.

a = 6.801 Å, b = 6.801 Å, c = 6.801 Å
α = 109.47°, β = 109.47°, γ = 109.47°
Fractional positions:
1 O 0.319 0.170 0.489
2 O 0.851 0.681 0.170
3 O 0.489 0.319 0.170
4 O 0.319 0.830 0.149
5 O 0.830 0.149 0.319
6 O 0.681 0.830 0.511
7 O 0.511 0.681 0.830
8 O 0.830 0.511 0.681
9 O 0.681 0.170 0.851
10 O 0.170 0.489 0.319
11 O 0.170 0.851 0.681
12 O 0.149 0.319 0.830
13 Sc 0.000 0.500 0.000
14 Sc 0.500 0.500 0.500
15 Sc 0.000 0.000 0.500
16 Sc 0.500 0.000 0.000
17 Mn 0.500 0.000 0.500
18 Mn 0.500 0.500 0.000
19 Mn 0.000 0.500 0.500
20 Ba 0.000 0.000 0.000

Calculated values
- VASP energy (eV/atom) = -8.037

---

# 7
## BaMn2Se2O6 (PBE with a Hubbard U)

Data for crystalline BaMn2Se2O6 at its relaxed geometry.

a = 6.672 Å, b = 6.383 Å, c = 8.317 Å
α = 126.69°, β = 64.37°, γ = 82.19°
Fractional positions:
1 O 0.916 0.103 0.420
2 O 0.084 0.897 0.580
3 O 0.968 0.542 0.247
4 O 0.032 0.458 0.753
5 O 0.493 0.748 0.111
6 O 0.507 0.252 0.889
7 Se 0.923 0.382 0.380
8 Se 0.077 0.618 0.620
9 Ba 0.500 0.000 0.500
10 Mn 0.217 0.678 0.199
11 Mn 0.783 0.322 0.801

Calculated values
- VASP energy (eV/atom) = -6.120

---

# 8
## BaMnSeO (PBE with a Hubbard U)

Data for crystalline BaMnSeO at its relaxed geometry.

a = 4.268 Å, b = 4.268 Å, c = 6.370 Å
α = 90.00°, β = 90.00°, γ = 120.00°
Fractional positions:
1 O 0.239 0.477 0.900
2 Ba 0.905 0.810 0.761
3 Se 0.572 0.144 0.368
4 Mn 0.239 0.477 0.210

Calculated values
- VASP energy (eV/atom) = -6.210

---

Copy entry 8 word for word.
## BaMnSeO (PBE with a Hubbard U)

Data for crystalline BaMnSeO at its relaxed geometry.

a = 4.268 Å, b = 4.268 Å, c = 6.370 Å
α = 90.00°, β = 90.00°, γ = 120.00°
Fractional positions:
1 O 0.239 0.477 0.900
2 Ba 0.905 0.810 0.761
3 Se 0.572 0.144 0.368
4 Mn 0.239 0.477 0.210

Calculated values
- VASP energy (eV/atom) = -6.210